No. 1
K4Rb5Ag (PBE, optimized geometry); total magnetization = 0.0 μB per formula unit; energy relative to the elements = 0.037 eV per atom; SG = C2/m, No. 12; density of states at the Fermi level = 7.23 states/eV per cell
1.0
4.709 0.000 -1.097
-0.776 13.151 -3.332
0.296 0.940 11.926
K Rb Ag
4 5 1
direct
0.652 0.042 0.304 K
0.003 0.174 0.007 K
0.348 0.958 0.696 K
0.997 0.826 0.993 K
0.172 0.381 0.345 Rb
0.170 0.735 0.340 Rb
0.830 0.265 0.660 Rb
0.500 0.500 0.000 Rb
0.828 0.619 0.655 Rb
0.500 0.000 0.000 Ag

=====

No. 2
AlAg2Pt (PBE, optimized geometry); total magnetization = 0.0 μB per formula unit; energy relative to the elements = -0.110 eV per atom; polymorph energy (0 for the lowest one) = 0.97 eV/f.u.; SG = Fm-3m, No. 225; density of states at the Fermi level = 1.38 states/eV per cell
1.0
3.064 -0.517 3.303
-1.027 1.194 4.252
-0.598 -3.188 3.169
Ag Pt Al
2 1 1
direct
0.250 0.250 0.250 Ag
0.750 0.750 0.750 Ag
0.500 0.500 0.500 Pt
0.000 0.000 0.000 Al

=====

No. 3
Li4Pr2I9 (PBE, optimized geometry); total magnetization = 1.0 μB per formula unit; total DFT energy (no corrections) = -3.317 eV/atom; SG = P-3c1, No. 165
1.0
-2.074 0.206 7.431
4.780 -2.712 5.417
8.688 19.105 1.895
Li Pr I
8 4 18
direct
0.334 0.333 0.989 Li
0.333 0.333 0.489 Li
0.666 0.667 0.011 Li
0.333 0.334 0.159 Li
0.667 0.667 0.511 Li
0.666 0.667 0.341 Li
0.334 0.333 0.659 Li
0.667 0.666 0.841 Li
0.000 0.000 0.339 Pr
0.000 0.000 0.161 Pr
0.000 0.000 0.661 Pr
0.000 0.000 0.839 Pr
0.000 0.339 0.750 I
0.340 0.661 0.750 I
0.661 0.000 0.750 I
0.000 0.661 0.250 I
0.660 0.339 0.250 I
0.339 0.000 0.250 I
0.657 0.984 0.418 I
0.984 0.359 0.418 I
0.358 0.658 0.418 I
0.641 0.016 0.082 I
0.342 0.641 0.082 I
0.016 0.342 0.082 I
0.343 0.016 0.582 I
0.016 0.641 0.582 I
0.642 0.342 0.582 I
0.359 0.984 0.918 I
0.658 0.359 0.918 I
0.984 0.658 0.918 I